No. 1
{"formula": "CaTiTc2", "functional": "PBE", "state": "optimized geometry", "e_form_kj_per_mol_atoms": 39.4, "spacegroup": "Fm-3m, No. 225", "cell": [[-3.640, 1.618, 2.268], [-4.005, 0.525, -2.169], [-3.515, -2.778, 0.973]], "species": ["Tc", "Tc", "Ca", "Ti"], "fractional_positions": [[0.750, 0.750, 0.750], [0.250, 0.250, 0.250], [0.000, 0.000, 0.000], [0.500, 0.500, 0.500]]}

---

No. 2
{"formula": "SmZn12Cu6", "functional": "PBE", "state": "optimized geometry", "e_form_kj_per_mol_atoms": -6.3, "spacegroup": "R-3m, No. 166", "cell": [[6.954, -0.011, -0.016], [-1.735, 6.734, -0.016], [-1.735, -2.235, 6.353]], "species": ["Sm", "Cu", "Cu", "Cu", "Cu", "Cu", "Cu", "Zn", "Zn", "Zn", "Zn", "Zn", "Zn", "Zn", "Zn", "Zn", "Zn", "Zn", "Zn"], "fractional_positions": [[0.000, 0.000, 0.000], [0.281, 0.281, 0.704], [0.296, 0.719, 0.719], [0.719, 0.296, 0.719], [0.704, 0.281, 0.281], [0.719, 0.719, 0.296], [0.281, 0.704, 0.281], [0.602, 0.602, 0.859], [0.398, 0.141, 0.398], [0.141, 0.398, 0.398], [0.859, 0.602, 0.602], [0.113, 0.500, 0.887], [0.602, 0.859, 0.602], [0.887, 0.113, 0.500], [0.398, 0.398, 0.141], [0.887, 0.500, 0.113], [0.113, 0.887, 0.500], [0.500, 0.887, 0.113], [0.500, 0.113, 0.887]]}

---

No. 3
{"formula": "Sc4AgPt2", "functional": "PBE", "state": "optimized geometry", "e_form_kj_per_mol_atoms": -79.6, "spacegroup": "R-3m, No. 166", "cell": [[4.466, 0.000, 1.395], [2.015, 3.986, 1.395], [-0.035, -0.022, 7.958]], "species": ["Pt", "Pt", "Sc", "Sc", "Sc", "Sc", "Ag"], "fractional_positions": [[0.251, 0.251, 0.246], [0.749, 0.749, 0.754], [0.870, 0.870, 0.389], [0.130, 0.130, 0.611], [0.381, 0.381, 0.857], [0.619, 0.619, 0.143], [0.000, 0.000, 0.000]]}

---

No. 4
{"formula": "KCaAs2", "functional": "PBE", "state": "optimized geometry", "e_form_kj_per_mol_atoms": -36.9, "spacegroup": "P4mm, No. 99", "cell": [[-2.558, 4.781, -1.102], [0.315, -0.597, -3.320], [-4.878, -2.609, 0.006]], "species": ["Ca", "K", "As", "As"], "fractional_positions": [[0.000, 0.624, 0.375], [0.500, 0.626, 0.875], [0.000, 0.125, 0.874], [0.500, 0.125, 0.375]]}

---

Raw total energy for every record listed, in sequence, given in eV per cell: -28.994 -45.816 -46.035 -13.930.